The following is a PBE-GGA calculation of a relaxed LaZnCuIr crystal, from the Alexandria database. Values from VASP.

Values from the calculation:
The value obtained for the mass density is 9.5 g/cm³. The value obtained for the formation energy is -0.406 eV per atom. Its space-group type is No. 8.

Cell and atoms, written as Quantum ESPRESSO input:
```
&SYSTEM
  ibrav = 0, nat = 4, ntyp = 4
/
ATOMIC_SPECIES
La 138.91 La.upf
Zn 65.41 Zn.upf
Cu 63.55 Cu.upf
Ir 192.22 Ir.upf
CELL_PARAMETERS angstrom
3.774 -2.183 0.000
3.774 2.183 0.000
-2.532 0.000 4.905
ATOMIC_POSITIONS crystal
La 0.000 0.000 0.000
Zn 0.490 0.490 0.469
Cu 0.197 0.197 0.591
Ir 0.795 0.795 0.383
```